Compound: MnNiPt
Source: Alexandria
Functional: GGA-PBE
Structure: relaxed

The space group is P6_3/mmc (No. 194) and the conventional cell measures 4.3056, 4.3056 and 5.1831 Å, with angles of 90.00, 90.00 and 120.00 degrees. The distinct sites, in fractional coordinates, are Mn at (0.3333, 0.6667, 0.2500), Ni at (0.0000, 0.0000, 0.0000) and Pt at (0.3333, 0.6667, 0.7500).

The energy above the most stable polymorph in this dataset is 64 meV/atom. For the density of states at the Fermi level, the calculation gives 0.8052 states/eV/atom. The formation energy comes out at -116 meV per atom. For the total energy, the calculation gives -7.1137 eV per atom.